1.
VASP calculation (PBE) on NaCoOs after structural relaxation.

Symmetry: Ima2 (46)
Distance to the lowest polymorph of the same formula, meV/atom: 243
E, eV/atom: -5.876
Formation energy from the elements, eV per atom: 0.676
Density, Mg/m³: 9.4

a = 5.355 Å, b = 7.255 Å, c = 5.141 Å
α = 45.12°, β = 58.61°, γ = 90.00°
Positions (direct):
Na 0.086 0.706 0.328
Co 0.834 0.334 0.332
Os 0.789 0.767 0.922
Co 0.334 0.334 0.332
Na 0.586 0.966 0.328
Os 0.289 0.311 0.922

2.
VASP calculation (PBE) on AsPb3W after structural relaxation.

Symmetry: Pm-3m (221)
Distance to the lowest polymorph of the same formula, meV/atom: 850
E, eV/atom: -4.018
Formation energy from the elements, eV per atom: 1.727
Density, Mg/m³: 9.3

a = 5.398 Å, b = 5.398 Å, c = 5.398 Å
α = 90.00°, β = 90.00°, γ = 90.00°
Positions (direct):
Pb 0.000 0.500 0.000
As 0.000 0.000 0.000
Pb 0.500 0.000 0.000
Pb 0.000 0.000 0.500
W 0.500 0.500 0.500

3.
VASP calculation (PBE) on TaAgRu3 after structural relaxation.

Symmetry: Pm-3m (221)
Distance to the lowest polymorph of the same formula, meV/atom: 828
E, eV/atom: -6.199
Formation energy from the elements, eV per atom: 2.307
Density, Mg/m³: 9.7

a = 4.667 Å, b = 4.667 Å, c = 4.667 Å
α = 90.00°, β = 90.00°, γ = 90.00°
Positions (direct):
Ru 0.000 0.000 0.500
Ag 0.000 0.000 0.000
Ta 0.500 0.500 0.500
Ru 0.500 0.000 0.000
Ru 0.000 0.500 0.000

4.
VASP calculation (PBE) on SrTl3 after structural relaxation.

Symmetry: R-3m (166)
E, eV/atom: -2.369
Formation energy from the elements, eV per atom: -0.174
Density, Mg/m³: 8.9

a = 6.523 Å, b = 6.523 Å, c = 6.523 Å
α = 116.52°, β = 116.52°, γ = 116.52°
Positions (direct):
Tl 0.500 0.500 0.000
Tl 0.500 0.000 0.500
Sr 0.000 0.000 0.000
Tl 0.000 0.500 0.500

5.
VASP calculation (PBE) on Na2GaSiO4 after structural relaxation.

Symmetry: I-4 (82)
E_form (uncorrected), eV per atom: -1.975
E, eV/atom: -5.840
Density, Mg/m³: 3.2

a = 5.492 Å, b = 5.492 Å, c = 5.492 Å
α = 82.92°, β = 124.17°, γ = 124.17°
Positions (direct):
Na 0.000 0.000 0.000
O 0.946 0.549 0.171
O 0.621 0.397 0.451
O 0.054 0.225 0.603
Na 0.500 0.750 0.250
O 0.379 0.829 0.775
Ga 0.500 0.250 0.750
Si 0.000 0.500 0.500

6.
VASP calculation (PBE) on Ce5Ag3Pb3 after structural relaxation.

Symmetry: P-62m (189)
E, eV/atom: -4.359
Formation energy from the elements, eV per atom: 0.127
Density, Mg/m³: 8.9

a = 3.376 Å, b = 10.241 Å, c = 10.241 Å
α = 120.00°, β = 90.00°, γ = 90.00°
Positions (direct):
Pb 0.000 0.000 0.618
Ag 0.500 0.000 0.846
Ag 0.500 0.154 0.154
Ce 0.500 0.000 0.345
Pb 0.000 0.618 0.000
Ce 0.500 0.333 0.667
Ce 0.500 0.345 0.000
Ag 0.500 0.846 0.000
Pb 0.000 0.382 0.382
Ce 0.500 0.667 0.333
Ce 0.500 0.655 0.655

7.
VASP calculation (PBE) on TbEuMg after structural relaxation.

Symmetry: I4mm (107)
Distance to the lowest polymorph of the same formula, meV/atom: 0
E, eV/atom: -5.499
Formation energy from the elements, eV per atom: 0.001
Density, Mg/m³: 5.8

a = 3.815 Å, b = 3.815 Å, c = 7.106 Å
α = 105.57°, β = 105.57°, γ = 90.00°
Positions (direct):
Eu 0.012 0.012 0.024
Mg 0.674 0.674 0.349
Tb 0.314 0.314 0.628

8.
VASP calculation (PBE) on Cd2ReO after structural relaxation.

Symmetry: I-42d (122)
E_form (uncorrected), eV per atom: 0.331
E, eV/atom: -4.479
Density, Mg/m³: 8.8

a = 9.240 Å, b = 9.240 Å, c = 6.801 Å
α = 47.21°, β = 47.21°, γ = 90.00°
Positions (direct):
Cd 0.245 0.625 0.250
Re 0.000 0.000 0.000
Re 0.750 0.250 0.500
Cd 0.875 0.755 0.750
Cd 0.375 0.495 0.750
Cd 0.505 0.125 0.250
O 0.250 0.750 0.500
O 0.500 0.500 0.000